# 1
Density functional theory data (GGA-PBE) for a geometry-optimized HfMgN structure.

- polymorph energy (0 for the lowest one) (meV per atom) = 12.1
- M_tot (μB per formula unit) = 0.00
- energy relative to the elements, uncorrected (meV/atom) = -915
- V (A^3/atom) = 15.353

a = 5.461 Å, b = 3.111 Å, c = 5.423 Å
α = 90.00°, β = 90.00°, γ = 90.00°
Sites, in units of the cell vectors:
Hf  0.250  0.500  0.641
Hf  0.750  0.500  0.359
Mg  0.750  0.000  0.847
Mg  0.250  0.000  0.153
N  0.500  0.000  0.500
N  0.000  0.000  0.500


# 2
Density functional theory data (GGA-PBE) for a geometry-optimized Hf2MgNbN structure.

- M_tot (μB per formula unit) = 0.00
- energy relative to the elements, uncorrected (meV/atom) = -563
- V (A^3/atom) = 17.272

a = 4.513 Å, b = 4.239 Å, c = 4.513 Å
α = 90.00°, β = 90.00°, γ = 90.00°
Sites, in units of the cell vectors:
Hf  0.000  0.000  0.500
Hf  0.500  0.000  0.000
Nb  0.000  0.500  0.000
N  0.000  0.000  0.000
Mg  0.500  0.500  0.500


# 3
Density functional theory data (GGA-PBE) for a geometry-optimized HfMg4Nb3N8 structure.

- M_tot (μB per formula unit) = 0.00
- energy relative to the elements, uncorrected (meV/atom) = -1099
- V (A^3/atom) = 10.841

a = 6.214 Å, b = 6.307 Å, c = 6.214 Å
α = 119.51°, β = 120.00°, γ = 90.00°
Sites, in units of the cell vectors:
N  0.251  0.253  0.502
N  0.746  0.743  0.994
N  0.254  0.257  0.006
N  0.248  0.743  0.994
N  0.248  0.743  0.497
N  0.752  0.257  0.503
N  0.752  0.257  0.006
N  0.749  0.747  0.498
Nb  0.500  0.500  0.500
Nb  0.500  0.500  0.000
Nb  0.000  0.500  0.500
Mg  0.500  0.000  0.500
Mg  0.500  0.000  0.000
Mg  0.000  0.000  0.500
Mg  0.000  0.000  0.000
Hf  0.000  0.500  0.000


The records above yield total energy values of -45.2 -42.7 -130.7 eV per cell, respectively.